VASP calculation (GGA-PBE) on crystalline NaHfSc2Fe at its relaxed geometry.

```
data_NaHfSc2Fe
_chemical_formula_sum 'Na1 Hf1 Sc2 Fe1'
_symmetry_space_group_name_H-M 'P 4/m m m'
_symmetry_Int_Tables_number 123
_symmetry_space_group_name_Hall '-P 4 2'
_cell_length_a 5.4112
_cell_length_b 5.4112
_cell_length_c 4.5893
_cell_angle_alpha 90.00
_cell_angle_beta 90.00
_cell_angle_gamma 90.00
loop_
_atom_site_label
_atom_site_fract_x
_atom_site_fract_y
_atom_site_fract_z
Na1 0.0000 0.0000 0.0000
Hf1 0.5000 0.5000 0.5000
Sc1 0.0000 0.5000 0.5000
Fe1 0.5000 0.5000 0.0000
```

Calculated values
DFT formation energy: 0.898 eV per atom
mass density: 4.29 g cm⁻³
V: 26.9 A^3/atom
D(E_F): 1.044 states/eV/atom